# 1
# NdDyTm5

A relaxed NdDyTm5 crystal (PBE, Alexandria via LeMat-Bulk).

a = 11.516 Å, b = 6.776 Å, c = 11.998 Å
α = 90.00°, β = 109.40°, γ = 90.00°
Space group C2/c (No. 15)
One atom of each set of equivalent atoms:
Nd (0.000, 0.025, 0.250)
Dy (0.250, 0.250, 0.000)
Tm (0.000, 0.410, 0.750)
Tm (0.079, 0.279, 0.499)
Tm (0.220, 0.360, 0.251)

Results
Polymorph energy (0 for the lowest one) ... 0.0 kJ/mol of atoms


# 2
# Nd5Dy4Tm

A relaxed Nd5Dy4Tm crystal (PBE, Alexandria via LeMat-Bulk).

a = 18.248 Å, b = 3.601 Å, c = 10.485 Å
α = 90.00°, β = 96.09°, γ = 90.00°
Space group C2/m (No. 12)
One atom of each set of equivalent atoms:
Nd (0.000, 0.000, 0.000)
Nd (0.142, 0.500, 0.729)
Nd (0.190, 0.500, 0.098)
Dy (0.045, 0.500, 0.264)
Dy (0.182, 0.000, 0.414)
Tm (0.000, 0.000, 0.500)

Results
Polymorph energy (0 for the lowest one) ... 12.0 kJ/mol of atoms


no.,N(E_F) (states/eV/f.u.),ΔE_f (eV/f.u.)
1,8.53,1.42
2,14.89,1.42